(1)
Computed, not measured: a relaxed GaAs2Ru2 crystal at the PBE level of DFT.

```
GaAs2Ru2
1.0
7.3414 0.0000 0.0000
0.0000 7.3414 0.0000
0.0000 0.0000 2.9513
Ru As Ga
4 4 2
direct
0.3542 0.8542 0.0000 Ru
0.8542 0.6458 0.0000 Ru
0.6458 0.1458 0.0000 Ru
0.1458 0.3542 0.0000 Ru
0.1460 0.6460 0.5000 As
0.6460 0.8540 0.5000 As
0.8540 0.3540 0.5000 As
0.3540 0.1460 0.5000 As
0.0000 0.0000 0.0000 Ga
0.5000 0.5000 0.0000 Ga
```

Properties
Volume (Å³ per atom): 15.91
DOS(E_F) (states/eV per atom): 0.707
Spin magnetization (μB/atom): 0.000
Calculated formation energy (eV per atom): -0.010
Space-group type: No. 127
Distance to the lowest polymorph of the same formula (eV/atom): 0.000

(2)
Computed, not measured: a relaxed GaAs2Ru2 crystal at the PBE level of DFT.

```
GaAs2Ru2
1.0
3.8097 0.0000 0.0000
0.0000 3.8097 0.0000
1.9048 1.9048 5.8912
Ru As Ga
2 2 1
direct
0.3833 0.3833 0.2334 Ru
0.6167 0.6167 0.7666 Ru
0.7500 0.2500 0.5000 As
0.2500 0.7500 0.5000 As
0.0000 0.0000 0.0000 Ga
```

Properties
Volume (Å³ per atom): 17.10
DOS(E_F) (states/eV per atom): 0.669
Spin magnetization (μB/atom): 0.000
Calculated formation energy (eV per atom): 0.135
Space-group type: No. 139
Distance to the lowest polymorph of the same formula (eV/atom): 0.145

(3)
Computed, not measured: a relaxed GaAsRu2 crystal at the PBE level of DFT.

```
GaAsRu2
1.0
3.4993 0.0000 0.0000
1.7497 3.0305 0.0000
1.7497 1.0102 6.0380
Ga As Ru
1 1 2
direct
0.5009 0.5009 0.4972 Ga
0.6668 0.6668 0.9995 As
0.0765 0.0765 0.7705 Ru
0.2557 0.2557 0.2329 Ru
```

Properties
Volume (Å³ per atom): 16.01
DOS(E_F) (states/eV per atom): 0.159
Spin magnetization (μB/atom): 0.000
Calculated formation energy (eV per atom): 0.035
Space-group type: No. 160
Distance to the lowest polymorph of the same formula (eV/atom): 0.288

(4)
Computed, not measured: a relaxed GaAsRu2 crystal at the PBE level of DFT.

```
GaAsRu2
1.0
-2.4445 -3.5051 0.7674
-3.6756 -0.6134 -2.2280
-0.2420 -3.1680 -2.9589
Ru As Ga
2 1 1
direct
0.2500 0.2500 0.2500 Ru
0.7500 0.7500 0.7500 Ru
0.5000 0.5000 0.5000 As
0.0000 0.0000 0.0000 Ga
```

Properties
Volume (Å³ per atom): 14.47
DOS(E_F) (states/eV per atom): 0.263
Spin magnetization (μB/atom): 0.000
Calculated formation energy (eV per atom): -0.216
Space-group type: No. 225
Distance to the lowest polymorph of the same formula (eV/atom): 0.037

(5)
Computed, not measured: a relaxed GaAsRu2 crystal at the PBE level of DFT.

```
GaAsRu2
1.0
5.5408 0.0000 0.0000
0.0000 5.5408 0.0000
2.7704 2.7704 5.4221
Ru As Ga
4 2 2
direct
0.6388 0.1250 0.2500 Ru
0.1112 0.6250 0.2500 Ru
0.3750 0.3612 0.7500 Ru
0.8750 0.8888 0.7500 Ru
0.0000 0.0000 0.0000 As
0.7500 0.2500 0.5000 As
0.5000 0.5000 0.0000 Ga
0.2500 0.7500 0.5000 Ga
```

Properties
Volume (Å³ per atom): 20.81
DOS(E_F) (states/eV per atom): 0.000
Spin magnetization (μB/atom): 0.000
Calculated formation energy (eV per atom): 0.475
Space-group type: No. 122
Distance to the lowest polymorph of the same formula (eV/atom): 0.728

(6)
Computed, not measured: a relaxed ScGa2AsRu crystal at the PBE level of DFT.

```
ScGa2AsRu
1.0
4.7281 0.0000 0.0000
0.0000 4.7875 0.0000
0.0000 0.0000 4.7281
Sc Ru As Ga
1 1 1 2
direct
0.5000 0.5000 0.5000 Sc
0.0000 0.0000 0.0000 Ru
0.0000 0.5000 0.0000 As
0.0000 0.0000 0.5000 Ga
0.5000 0.0000 0.0000 Ga
```

Properties
Volume (Å³ per atom): 21.41
DOS(E_F) (states/eV per atom): 1.252
Spin magnetization (μB/atom): 0.000
Calculated formation energy (eV per atom): 0.077
Space-group type: No. 123

(7)
Computed, not measured: a relaxed GaSi2AsRu crystal at the PBE level of DFT.

```
GaSi2AsRu
1.0
4.7097 0.0000 0.0000
0.0000 4.6292 0.0000
0.0000 0.0000 4.7097
Ru As Si Ga
1 1 2 1
direct
0.5000 0.5000 0.5000 Ru
0.0000 0.0000 0.0000 As
0.0000 0.0000 0.5000 Si
0.5000 0.0000 0.0000 Si
0.0000 0.5000 0.0000 Ga
```

Properties
Volume (Å³ per atom): 20.54
DOS(E_F) (states/eV per atom): 0.928
Spin magnetization (μB/atom): 0.304
Uncorrected formation energy (eV per atom): 1.3497
Space-group type: No. 123

(8)
Computed, not measured: a relaxed TaGa2AsRu crystal at the PBE level of DFT.

```
TaGa2AsRu
1.0
4.8064 0.0000 0.0000
0.0000 4.7616 0.0000
0.0000 0.0000 4.8064
Ru As Ga Ta
1 1 2 1
direct
0.5000 0.5000 0.5000 Ru
0.0000 0.5000 0.0000 As
0.0000 0.0000 0.5000 Ga
0.5000 0.0000 0.0000 Ga
0.0000 0.0000 0.0000 Ta
```

Properties
Volume (Å³ per atom): 22.00
DOS(E_F) (states/eV per atom): 0.434
Spin magnetization (μB/atom): 0.437
Calculated formation energy (eV per atom): 1.147
Space-group type: No. 123

(9)
Computed, not measured: a relaxed GaAs2S4 crystal at the PBE level of DFT.

```
GaAs2S4
1.0
6.3333 0.0000 0.0000
0.0000 6.3333 0.0000
-3.1667 -3.1667 4.3149
Ga As S
1 2 4
direct
0.5000 0.5000 0.0000 Ga
0.7500 0.2500 0.5000 As
0.2500 0.7500 0.5000 As
0.8554 0.3997 0.2551 S
0.3997 0.8554 0.2551 S
0.6003 0.6003 0.7449 S
0.1446 0.1446 0.7449 S
```

Properties
Volume (Å³ per atom): 24.73
DOS(E_F) (states/eV per atom): 0.289
Spin magnetization (μB/atom): 0.000
Uncorrected formation energy (eV per atom): -0.1060
Space-group type: No. 121

(10)
Computed, not measured: a relaxed GaAsS crystal at the PBE level of DFT.

```
GaAsS
1.0
-2.1141 -3.9800 -3.3874
1.4770 -5.1879 5.1738
-7.4818 2.8793 1.2864
S Ga As
4 4 4
direct
0.5135 0.3330 0.7274 S
0.0135 0.6670 0.7726 S
0.4865 0.6670 0.2726 S
0.9865 0.3330 0.2274 S
0.2241 0.1110 0.6839 Ga
0.7241 0.8890 0.8161 Ga
0.7759 0.8890 0.3161 Ga
0.2759 0.1110 0.1839 Ga
0.2852 0.8999 0.8676 As
0.7852 0.1001 0.6324 As
0.7148 0.1001 0.1324 As
0.2148 0.8999 0.3676 As
```

Properties
Volume (Å³ per atom): 27.03
Spin magnetization (μB/atom): 0.000
Uncorrected formation energy (eV per atom): -0.1769
Space-group type: No. 14
Distance to the lowest polymorph of the same formula (eV/atom): 0.258

Question: spin magnetization of number 4 (GaAsRu2)?
Answer: 0.000 μB/atom

Question: volume of number 6 (ScGa2AsRu)?
Answer: 21.41 Å³ per atom

Question: volume of number 8 (TaGa2AsRu)?
Answer: 22.00 Å³ per atom